A plane-wave DFT calculation with PBE+U was carried out for a geometry-optimized VSnN2O structure.

Computed properties:
V: 13.56 A^3/atom
Total DFT energy (no corrections): -28.372 eV/cell
Total magnetization: 0.91 μB per formula unit

Cell: 4.110 4.110 4.014 Å, 90.00 90.00 90.00°
Sites, in units of the cell vectors:
N  0.000  0.500  0.000
N  0.500  0.000  0.000
O  0.000  0.000  0.500
Sn  0.000  0.000  0.000
V  0.500  0.500  0.500